# 1
Density functional theory data (PBE) for a geometry-optimized Li3MgSn4 structure.

a b c (Å): 7.8484 7.8484 7.8484
angles (deg): 155.46 110.46 74.98
Last column: nearest neighbours and their distance in Å.
Element x y z (fractional)
Li  0.0000  0.0000  0.0000  8 Sn 3.20, 2 Li 3.34
Li  0.2951  0.7951  0.5000  6 Sn 2.84-3.02, 2 Mg 3.05
Li  0.7049  0.2049  0.5000  6 Sn 2.84-3.02, 2 Mg 3.05
Mg  0.5000  0.5000  0.0000  4 Sn 2.96, 4 Li 3.05
Sn  0.0928  0.3594  0.7334  3 Li 2.84-3.02, 1 Mg 2.96
Sn  0.3741  0.6406  0.7334  3 Li 2.84-3.02, 1 Mg 2.96
Sn  0.6259  0.3594  0.2666  3 Li 2.84-3.02, 1 Mg 2.96
Sn  0.9072  0.6406  0.2666  3 Li 2.84-3.02, 1 Mg 2.96

Its volume is 186.0 Å³ per cell. For the energy above the lowest structure with this stoichiometry, the calculation gives 103.0 meV per atom. The value obtained for the total magnetic moment is 0.0 μB per formula unit. Its space-group type is Immm (71). The calculation puts the formation energy at -0.1777 eV/atom. The calculated total energy is -24.77 eV for the cell shown.


# 2
Density functional theory data (PBE) for a geometry-optimized Li5Mg2Sn2 structure.

a b c (Å): 9.2760 9.2760 9.2760
angles (deg): 73.40 148.00 115.95
Last column: nearest neighbours and their distance in Å.
Element x y z (fractional)
Li  0.2374  0.1369  0.8736  2 Sn 2.82-2.83, 3 Li 2.88-2.91, 2 Mg 3.01-3.12
Li  0.2374  0.8638  0.6006  2 Sn 2.82-2.83, 3 Li 2.88-2.91, 2 Mg 3.01-3.12
Li  0.2497  0.0547  0.3044  3 Sn 2.83-2.85, 4 Li 2.88-3.03, 3 Mg 2.89-2.90
Li  0.2497  0.4453  0.6950  3 Sn 2.83-2.85, 4 Li 2.88-3.03, 3 Mg 2.89-2.90
Li  0.2632  0.3638  0.1264  2 Sn 2.82-2.83, 3 Li 2.88-2.91, 2 Mg 3.01-3.12
Li  0.2632  0.6369  0.3994  2 Sn 2.82-2.83, 3 Li 2.88-2.91, 2 Mg 3.01-3.12
Li  0.6443  0.0004  0.1440  2 Li 2.91, 2 Mg 3.06, 4 Sn 3.07
Li  0.7503  0.5547  0.3050  3 Sn 2.83-2.85, 4 Li 2.88-3.03, 3 Mg 2.89-2.90
Li  0.7503  0.9453  0.6956  3 Sn 2.83-2.85, 4 Li 2.88-3.03, 3 Mg 2.89-2.90
Li  0.8564  0.5004  0.8560  2 Li 2.91, 2 Mg 3.06, 4 Sn 3.07
Mg  0.2502  0.2503  0.4999  4 Li 2.90-3.06, 4 Sn 3.06
Mg  0.7498  0.2498  0.5000  8 Li 2.89-3.12
Mg  0.7498  0.7498  0.0000  8 Li 2.89-3.12
Mg  0.7504  0.7503  0.5001  4 Li 2.90-3.06, 4 Sn 3.06
Sn  0.2505  0.6371  0.8871  7 Li 2.82-3.07, 2 Mg 3.06
Sn  0.2505  0.8634  0.1134  7 Li 2.82-3.07, 2 Mg 3.06
Sn  0.7501  0.1371  0.8866  7 Li 2.82-3.07, 2 Mg 3.06
Sn  0.7501  0.3634  0.1129  7 Li 2.82-3.07, 2 Mg 3.06

Its volume is 374.1 Å³ per cell. For the energy above the lowest structure with this stoichiometry, the calculation gives 97.0 meV per atom. The value obtained for the total magnetic moment is 0.0 μB per formula unit. Its space-group type is Ima2 (46). The calculation puts the formation energy at -0.1709 eV/atom. The calculated total energy is -44.60 eV for the cell shown.


# 3
Density functional theory data (PBE) for a geometry-optimized Li4MgSn2 structure.

a b c (Å): 7.2458 5.1732 8.4238
angles (deg): 90.00 114.78 90.00
Last column: nearest neighbours and their distance in Å.
Element x y z (fractional)
Li  0.0713  0.2500  0.4221  4 Sn 2.80-2.98, 1 Mg 3.13
Li  0.1965  0.0081  0.1109  3 Li 2.50-2.67, 2 Sn 2.75-2.78
Li  0.1965  0.4919  0.1109  3 Li 2.50-2.67, 2 Sn 2.75-2.78
Li  0.3691  0.7500  0.5158  4 Sn 2.87-3.04, 1 Mg 3.11
Li  0.6309  0.2500  0.4842  4 Sn 2.87-3.04, 1 Mg 3.11
Li  0.8035  0.5081  0.8891  3 Li 2.50-2.67, 2 Sn 2.75-2.78
Li  0.8035  0.9919  0.8891  3 Li 2.50-2.67, 2 Sn 2.75-2.78
Li  0.9287  0.7500  0.5779  4 Sn 2.80-2.98, 1 Mg 3.13
Mg  0.3652  0.7500  0.8832  4 Li 2.99-3.13, 5 Sn 3.02-3.29, 2 Mg 3.34
Mg  0.6348  0.2500  0.1168  4 Li 2.99-3.13, 5 Sn 3.02-3.29, 2 Mg 3.34
Sn  0.0559  0.2500  0.7672  8 Li 2.78-3.00, 1 Sn 2.97
Sn  0.4402  0.2500  0.7218  6 Li 2.75-3.04, 1 Sn 2.97, 3 Mg 3.02-3.07
Sn  0.5598  0.7500  0.2782  6 Li 2.75-3.04, 1 Sn 2.97, 3 Mg 3.02-3.07
Sn  0.9441  0.7500  0.2328  8 Li 2.78-3.00, 1 Sn 2.97

Its volume is 286.7 Å³ per cell. For the energy above the lowest structure with this stoichiometry, the calculation gives 22.7 meV per atom. The value obtained for the total magnetic moment is 0.0 μB per formula unit. Its space-group type is P2_1/m (11). The calculation puts the formation energy at -0.2702 eV/atom. The calculated total energy is -38.29 eV for the cell shown.


# 4
Density functional theory data (PBE) for a geometry-optimized Li5Mg2Sn2 structure.

a b c (Å): 8.5457 4.7978 4.7978
angles (deg): 59.91 90.00 90.00
Last column: nearest neighbours and their distance in Å.
Element x y z (fractional)
Li  0.0000  0.0000  0.0000  2 Mg 2.74, 3 Sn 2.76-2.77
Li  0.1580  0.3320  0.3320  1 Li 2.70, 1 Sn 2.92
Li  0.3344  0.6645  0.6645  3 Mg 2.77, 1 Li 2.83, 1 Sn 2.86
Li  0.6656  0.6645  0.6645  3 Mg 2.77, 1 Li 2.83, 1 Sn 2.86
Li  0.8420  0.3320  0.3320  1 Li 2.70, 1 Sn 2.92
Mg  0.3201  0.9970  0.9970  4 Li 2.74-2.77
Mg  0.6799  0.9970  0.9970  4 Li 2.74-2.77
Sn  0.0000  0.6676  0.6676  9 Li 2.76-3.07
Sn  0.5000  0.3299  0.3299  8 Li 2.92-3.12, 6 Mg 3.17

Its volume is 170.2 Å³ per cell. For the energy above the lowest structure with this stoichiometry, the calculation gives 0.0 meV per atom. The value obtained for the total magnetic moment is 0.0 μB per formula unit. Its space-group type is Amm2 (38). The calculation puts the formation energy at -0.2679 eV/atom. The calculated total energy is -23.18 eV for the cell shown.


# 5
Density functional theory data (PBE) for a geometry-optimized Li8Mg3Sn2 structure.

a b c (Å): 11.2709 11.2709 11.2709
angles (deg): 27.61 27.61 27.61
Last column: nearest neighbours and their distance in Å.
Element x y z (fractional)
Li  0.2212  0.2212  0.2212  1 Sn 2.78
Li  0.2318  0.2318  0.7277  4 Li 2.67-2.71, 1 Sn 2.82
Li  0.2318  0.7277  0.2318  4 Li 2.67-2.71, 1 Sn 2.82
Li  0.2723  0.7682  0.7682  4 Li 2.67-2.71, 1 Sn 2.82
Li  0.7277  0.2318  0.2318  4 Li 2.67-2.71, 1 Sn 2.82
Li  0.7682  0.2723  0.7682  4 Li 2.67-2.71, 1 Sn 2.82
Li  0.7682  0.7682  0.2723  4 Li 2.67-2.71, 1 Sn 2.82
Li  0.7788  0.7788  0.7788  1 Sn 2.78
Mg  0.3176  0.3176  0.3176  10 Li 3.01-3.13, 3 Mg 3.27
Mg  0.5000  0.5000  0.5000  6 Sn 3.26, 6 Li 3.58
Mg  0.6824  0.6824  0.6824  10 Li 3.01-3.13, 3 Mg 3.27
Sn  0.1358  0.1358  0.1358  4 Li 2.78-2.82
Sn  0.8642  0.8642  0.8642  4 Li 2.78-2.82

Its volume is 271.5 Å³ per cell. The value obtained for the total magnetic moment is 0.0 μB per formula unit. Its space-group type is R-3m (166). The calculation puts the formation energy at -0.0589 eV/atom. The calculated total energy is -28.87 eV for the cell shown.


# 6
Density functional theory data (PBE) for a geometry-optimized LiMgSn4 structure.

a b c (Å): 4.8294 4.8294 6.7762
angles (deg): 95.21 95.21 94.48
Last column: nearest neighbours and their distance in Å.
Element x y z (fractional)
Li  0.0000  0.0000  0.0000  8 Sn 2.87-2.93
Mg  0.5000  0.5000  0.5000  8 Sn 3.02
Sn  0.0309  0.4646  0.7657  2 Li 2.87-2.93, 2 Mg 3.02, 2 Sn 3.08-3.21
Sn  0.4646  0.0309  0.7657  2 Li 2.87-2.93, 2 Mg 3.02, 2 Sn 3.08-3.21
Sn  0.5354  0.9691  0.2343  2 Li 2.87-2.93, 2 Mg 3.02, 2 Sn 3.08-3.21
Sn  0.9691  0.5354  0.2343  2 Li 2.87-2.93, 2 Mg 3.02, 2 Sn 3.08-3.21

Its volume is 156.1 Å³ per cell. The value obtained for the total magnetic moment is 0.0 μB per formula unit. Its space-group type is C2/m (12). The calculation puts the formation energy at -0.0886 eV/atom. The calculated total energy is -20.05 eV for the cell shown.